Run A
First-principles (PBE) data for a relaxed La4Pm3Dy2 crystal, as listed in Alexandria via LeMat-Bulk.

The structure in POSCAR format:
```
La4Pm3Dy2
1.0
-0.377 0.117 -3.628
2.529 -2.160 1.502
-18.242 -20.501 1.236
La Pm Dy
4 3 2
Direct
0.000 0.000 0.546 La
0.667 0.333 0.431 La
0.667 0.333 0.211 La
0.000 0.000 0.769 La
0.000 0.000 0.983 Pm
0.000 0.000 0.319 Pm
0.667 0.333 0.656 Pm
0.667 0.333 0.086 Dy
0.667 0.333 0.876 Dy
```

Output
**Spin magnetization**: 0.0 μB/cell

Run B
First-principles (PBE) data for a relaxed La4Pm3Dy2 crystal, as listed in Alexandria via LeMat-Bulk.

The structure in POSCAR format:
```
La4Pm3Dy2
1.0
3.723 0.000 0.000
-1.861 6.385 1.373
0.000 3.770 14.381
La Pm Dy
4 3 2
Direct
0.651 0.303 0.128 La
0.112 0.225 0.605 La
0.888 0.775 0.395 La
0.349 0.697 0.872 La
0.382 0.763 0.615 Pm
0.000 0.000 0.000 Pm
0.618 0.237 0.385 Pm
0.342 0.684 0.210 Dy
0.658 0.316 0.790 Dy
```

Output
**Spin magnetization**: 0.0 μB/cell

Result of the stability comparison: run A is the most stable of them.

Run A
First-principles (PBE) data for a relaxed LaPm3Dy4 crystal, as listed in Alexandria via LeMat-Bulk.

The structure in POSCAR format:
```
LaPm3Dy4
1.0
3.468 0.513 -0.945
1.620 10.344 -2.382
-1.795 0.818 7.877
Pm Dy La
3 4 1
Direct
0.000 0.000 0.500 Pm
0.500 0.500 0.500 Pm
0.000 0.500 0.000 Pm
0.000 0.748 0.748 Dy
0.496 0.252 0.748 Dy
0.000 0.252 0.252 Dy
0.504 0.748 0.252 Dy
0.500 0.000 0.000 La
```

Output
**Spin magnetization**: 0.0 μB/cell

Run B
First-principles (PBE) data for a relaxed LaPm3Dy4 crystal, as listed in Alexandria via LeMat-Bulk.

The structure in POSCAR format:
```
LaPm3Dy4
1.0
-3.985 -4.239 2.481
3.953 -5.438 -2.940
6.484 -0.477 9.601
La Pm Dy
2 6 8
Direct
0.146 0.375 0.000 La
0.646 0.625 0.500 La
0.648 0.629 0.000 Pm
0.982 0.629 0.251 Pm
0.482 0.371 0.249 Pm
0.148 0.371 0.500 Pm
0.482 0.371 0.751 Pm
0.982 0.629 0.749 Pm
0.148 0.878 0.000 Dy
0.648 0.120 0.000 Dy
0.981 0.122 0.251 Dy
0.481 0.878 0.249 Dy
0.148 0.880 0.500 Dy
0.648 0.122 0.500 Dy
0.481 0.878 0.751 Dy
0.981 0.122 0.749 Dy
```

Output
**Spin magnetization**: 0.0 μB/cell

Result of the stability comparison: run A is the most stable of them.

Run A
First-principles (PBE) data for a relaxed La2Pm4Dy5 crystal, as listed in Alexandria via LeMat-Bulk.

The structure in POSCAR format:
```
La2Pm4Dy5
1.0
3.597 0.000 -0.639
0.247 9.280 1.391
0.235 3.431 11.763
La Pm Dy
2 4 5
Direct
0.611 0.414 0.221 La
0.389 0.586 0.779 La
0.177 0.022 0.355 Pm
0.014 0.292 0.028 Pm
0.823 0.978 0.645 Pm
0.986 0.708 0.972 Pm
0.876 0.271 0.752 Dy
0.124 0.729 0.248 Dy
0.755 0.658 0.511 Dy
0.500 0.000 0.000 Dy
0.245 0.342 0.489 Dy
```

Output
**Spin magnetization**: 0.0 μB/cell

Run B
First-principles (PBE) data for a relaxed La2Pm4Dy5 crystal, as listed in Alexandria via LeMat-Bulk.

The structure in POSCAR format:
```
La2Pm4Dy5
1.0
-5.418 3.637 1.725
-1.366 -0.002 8.919
2.295 5.704 8.387
La Pm Dy
2 4 5
Direct
0.199 0.899 0.702 La
0.801 0.101 0.298 La
0.414 0.768 0.405 Pm
0.586 0.232 0.595 Pm
0.756 0.684 0.804 Pm
0.244 0.316 0.196 Pm
0.172 0.271 0.905 Dy
0.828 0.729 0.095 Dy
0.000 0.500 0.500 Dy
0.652 0.271 0.905 Dy
0.348 0.729 0.095 Dy
```

Output
**Spin magnetization**: 0.0 μB/cell

Result of the stability comparison: run A is the most stable of them.

Run A
First-principles (PBE) data for a relaxed LaPm2Dy crystal, as listed in Alexandria via LeMat-Bulk.

The structure in POSCAR format:
```
LaPm2Dy
1.0
-0.061 2.080 4.757
-2.183 -4.274 1.841
4.653 -1.978 0.925
Pm La Dy
2 1 1
Direct
0.000 0.000 0.500 Pm
0.000 0.500 0.000 Pm
0.500 0.000 0.000 La
0.500 0.500 0.500 Dy
```

Output
**Spin magnetization**: 0.0 μB/cell

Run B
First-principles (PBE) data for a relaxed LaPm2Dy crystal, as listed in Alexandria via LeMat-Bulk.

The structure in POSCAR format:
```
LaPm2Dy
1.0
5.882 0.000 0.000
0.000 6.393 0.000
0.000 0.000 14.750
La Pm Dy
4 8 4
Direct
0.250 0.586 0.688 La
0.750 0.414 0.312 La
0.250 0.086 0.812 La
0.750 0.914 0.188 La
0.250 0.582 0.185 Pm
0.750 0.418 0.815 Pm
0.250 0.082 0.315 Pm
0.750 0.918 0.685 Pm
0.250 0.586 0.438 Pm
0.750 0.414 0.562 Pm
0.250 0.086 0.062 Pm
0.750 0.914 0.938 Pm
0.250 0.582 0.939 Dy
0.750 0.418 0.061 Dy
0.250 0.082 0.561 Dy
0.750 0.918 0.439 Dy
```

Output
**Spin magnetization**: 0.0 μB/cell

Result of the stability comparison: run A is the most stable of them.

Run A
First-principles (PBE) data for a relaxed LaPm2Dy crystal, as listed in Alexandria via LeMat-Bulk.

The structure in POSCAR format:
```
LaPm2Dy
1.0
5.149 0.000 0.000
-2.575 5.675 -1.178
0.000 -1.310 4.991
La Pm Dy
1 2 1
Direct
0.000 0.000 0.500 La
0.250 0.500 0.250 Pm
0.750 0.500 0.750 Pm
0.500 0.000 0.000 Dy
```

Output
**Spin magnetization**: 0.0 μB/cell

Run B
First-principles (PBE) data for a relaxed LaPm2Dy crystal, as listed in Alexandria via LeMat-Bulk.

The structure in POSCAR format:
```
LaPm2Dy
1.0
-4.114 -1.128 -0.547
-0.534 -0.123 4.266
-1.966 7.187 -0.039
Pm La Dy
2 1 1
Direct
0.000 0.000 0.760 Pm
0.000 0.000 0.240 Pm
0.500 0.500 0.500 La
0.500 0.500 0.000 Dy
```

Output
**Spin magnetization**: 0.0 μB/cell

Result of the stability comparison: run A is the most stable of them.

Run A
First-principles (PBE) data for a relaxed La3Pm7Dy crystal, as listed in Alexandria via LeMat-Bulk.

The structure in POSCAR format:
```
La3Pm7Dy
1.0
-1.365 5.062 -2.907
-6.981 -5.051 0.670
-1.251 0.988 8.495
La Pm Dy
3 7 1
Direct
0.000 0.787 0.213 La
0.500 0.000 0.000 La
0.000 0.213 0.787 La
0.209 0.209 0.209 Pm
0.300 0.004 0.597 Pm
0.700 0.403 0.996 Pm
0.300 0.597 0.004 Pm
0.000 0.500 0.500 Pm
0.700 0.996 0.403 Pm
0.791 0.791 0.791 Pm
0.500 0.500 0.500 Dy
```

Output
**Spin magnetization**: 0.0 μB/cell

Run B
First-principles (PBE) data for a relaxed La3Pm7Dy crystal, as listed in Alexandria via LeMat-Bulk.

The structure in POSCAR format:
```
La3Pm7Dy
1.0
6.522 -0.014 0.403
0.391 7.768 1.084
-0.044 0.024 7.853
La Pm Dy
3 7 1
Direct
0.000 0.825 0.175 La
0.500 0.000 0.000 La
0.000 0.175 0.825 La
0.787 0.240 0.240 Pm
0.738 0.911 0.569 Pm
0.262 0.431 0.089 Pm
0.738 0.569 0.911 Pm
0.000 0.500 0.500 Pm
0.262 0.089 0.431 Pm
0.213 0.760 0.760 Pm
0.500 0.500 0.500 Dy
```

Output
**Spin magnetization**: 0.0 μB/cell

Result of the stability comparison: run B is the most stable of them.

Run A
First-principles (PBE) data for a relaxed La5Pm4Dy2 crystal, as listed in Alexandria via LeMat-Bulk.

The structure in POSCAR format:
```
La5Pm4Dy2
1.0
3.576 0.000 0.000
0.000 9.089 -0.026
0.000 -0.909 11.921
La Pm Dy
5 4 2
Direct
0.000 0.568 0.292 La
0.000 0.194 0.166 La
0.000 0.500 0.000 La
0.000 0.806 0.834 La
0.000 0.432 0.708 La
0.500 0.718 0.549 Pm
0.500 0.158 0.889 Pm
0.500 0.282 0.451 Pm
0.500 0.842 0.111 Pm
0.000 0.057 0.635 Dy
0.000 0.943 0.365 Dy
```

Output
**Spin magnetization**: 0.0 μB/cell

Run B
First-principles (PBE) data for a relaxed La5Pm4Dy2 crystal, as listed in Alexandria via LeMat-Bulk.

The structure in POSCAR format:
```
La5Pm4Dy2
1.0
-2.962 2.102 0.421
-5.518 -7.607 -0.838
4.649 1.072 11.483
La Pm Dy
5 4 2
Direct
0.885 0.570 0.771 La
0.115 0.430 0.229 La
0.868 0.928 0.736 La
0.500 0.000 0.000 La
0.132 0.072 0.264 La
0.315 0.171 0.630 Pm
0.042 0.701 0.084 Pm
0.685 0.829 0.370 Pm
0.958 0.299 0.916 Pm
0.734 0.342 0.467 Dy
0.266 0.658 0.533 Dy
```

Output
**Spin magnetization**: 0.0 μB/cell

Result of the stability comparison: run A is the most stable of them.

Run A
First-principles (PBE) data for a relaxed La3Pm4Dy5 crystal, as listed in Alexandria via LeMat-Bulk.

The structure in POSCAR format:
```
La3Pm4Dy5
1.0
-4.569 -0.131 3.936
0.338 -7.222 4.775
1.238 7.420 6.305
La Pm Dy
3 4 5
Direct
0.519 0.689 0.273 La
0.000 0.500 0.500 La
0.481 0.311 0.727 La
0.860 0.223 0.057 Pm
0.170 0.035 0.624 Pm
0.830 0.965 0.376 Pm
0.140 0.777 0.943 Pm
0.624 0.947 0.804 Dy
0.500 0.500 0.500 Dy
0.218 0.454 0.109 Dy
0.782 0.546 0.891 Dy
0.376 0.053 0.196 Dy
```

Output
**Spin magnetization**: 0.0 μB/cell

Run B
First-principles (PBE) data for a relaxed La3Pm4Dy5 crystal, as listed in Alexandria via LeMat-Bulk.

The structure in POSCAR format:
```
La3Pm4Dy5
1.0
6.997 -0.370 1.883
-5.252 7.551 -6.859
4.103 -3.857 11.812
La Pm Dy
3 4 5
Direct
0.582 0.164 0.332 La
0.000 0.000 0.500 La
0.418 0.836 0.668 La
0.918 0.838 0.670 Pm
0.831 0.662 0.831 Pm
0.169 0.338 0.169 Pm
0.082 0.162 0.330 Pm
0.331 0.666 0.835 Dy
0.500 0.000 0.500 Dy
0.750 0.502 0.002 Dy
0.250 0.498 0.998 Dy
0.669 0.334 0.165 Dy
```

Output
**Spin magnetization**: 0.0 μB/cell

Result of the stability comparison: run B is the most stable of them.

Run A
First-principles (PBE) data for a relaxed La2Pm2Dy5 crystal, as listed in Alexandria via LeMat-Bulk.

The structure in POSCAR format:
```
La2Pm2Dy5
1.0
3.444 0.000 -0.710
-0.491 8.050 -2.381
0.723 -3.064 12.208
La Pm Dy
2 2 5
Direct
0.817 0.778 0.633 La
0.183 0.222 0.367 La
0.546 0.735 0.091 Pm
0.454 0.265 0.909 Pm
0.690 0.853 0.381 Dy
0.310 0.147 0.619 Dy
0.900 0.539 0.801 Dy
0.100 0.461 0.199 Dy
0.000 0.000 0.000 Dy
```

Output
**Spin magnetization**: 0.0 μB/cell

Run B
First-principles (PBE) data for a relaxed La2Pm2Dy5 crystal, as listed in Alexandria via LeMat-Bulk.

The structure in POSCAR format:
```
La2Pm2Dy5
1.0
-11.258 1.196 4.068
-0.105 -6.561 1.640
8.333 4.352 3.994
La Pm Dy
4 4 10
Direct
0.000 0.010 0.000 La
0.500 0.510 0.000 La
0.257 0.350 0.500 La
0.743 0.850 0.500 La
0.123 0.683 0.252 Pm
0.877 0.431 0.748 Pm
0.628 0.183 0.252 Pm
0.372 0.931 0.748 Pm
0.205 0.651 0.892 Dy
0.795 0.758 0.108 Dy
0.188 0.151 0.892 Dy
0.812 0.258 0.108 Dy
0.375 0.039 0.284 Dy
0.625 0.756 0.716 Dy
0.408 0.539 0.284 Dy
0.592 0.256 0.716 Dy
0.009 0.658 0.500 Dy
0.991 0.158 0.500 Dy
```

Output
**Spin magnetization**: 0.0 μB/cell

Result of the stability comparison: run B is the most stable of them.

Run A
First-principles (PBE) data for a relaxed La2Pm5Dy12 crystal, as listed in Alexandria via LeMat-Bulk.

The structure in POSCAR format:
```
La2Pm5Dy12
1.0
6.725 0.769 0.228
-2.813 9.493 -6.407
0.302 -2.547 11.276
La Pm Dy
2 5 12
Direct
0.877 0.752 0.761 La
0.123 0.248 0.239 La
0.339 0.617 0.689 Pm
0.451 0.811 0.275 Pm
0.000 0.000 0.500 Pm
0.549 0.189 0.725 Pm
0.661 0.383 0.311 Pm
0.110 0.850 0.094 Dy
0.157 0.441 0.857 Dy
0.660 0.573 0.885 Dy
0.109 0.688 0.467 Dy
0.618 0.780 0.528 Dy
0.362 0.023 0.881 Dy
0.638 0.977 0.119 Dy
0.891 0.312 0.533 Dy
0.382 0.220 0.472 Dy
0.843 0.559 0.143 Dy
0.340 0.427 0.115 Dy
0.890 0.150 0.906 Dy
```

Output
**Spin magnetization**: 0.0 μB/cell

Run B
First-principles (PBE) data for a relaxed La2Pm5Dy12 crystal, as listed in Alexandria via LeMat-Bulk.

The structure in POSCAR format:
```
La2Pm5Dy12
1.0
-0.345 0.309 -9.337
-7.435 -8.824 4.662
-0.260 8.669 0.297
La Pm Dy
2 5 12
Direct
0.679 0.000 0.000 La
0.321 0.000 0.000 La
0.297 0.593 0.609 Pm
0.230 0.460 0.887 Pm
0.000 0.000 0.500 Pm
0.770 0.540 0.113 Pm
0.703 0.407 0.391 Pm
0.083 0.166 0.288 Dy
0.026 0.697 0.939 Dy
0.670 0.697 0.939 Dy
0.183 0.745 0.403 Dy
0.561 0.745 0.403 Dy
0.559 0.118 0.784 Dy
0.441 0.882 0.216 Dy
0.817 0.255 0.597 Dy
0.439 0.255 0.597 Dy
0.974 0.303 0.061 Dy
0.330 0.303 0.061 Dy
0.917 0.834 0.712 Dy
```

Output
**Spin magnetization**: 0.0 μB/cell

Result of the stability comparison: run A is the most stable of them.